Below is a relaxed structure of Na5In4, with properties calculated at the PBE level.

Total magnetic moment: 0.00 μB/cell
ΔE_f: -0.102 eV/atom
Calculated total energy: -18.5 eV/f.u.

```
Na5In4
1.0
-2.5257 -1.1344 -4.2609
-1.5804 -3.0597 4.7814
-4.2491 8.7729 0.1830
In Na
4 5
direct
0.3343 0.6687 0.9345
0.6657 0.3313 0.0655
0.3210 0.6419 0.6002
0.6790 0.3581 0.3998
0.0020 0.0039 0.1657
0.9980 0.9961 0.8343
0.6640 0.3279 0.7256
0.0000 0.0000 0.5000
0.3360 0.6721 0.2744
```